Entry 1:
Crystalline CsCr3Pb at its relaxed geometry, computed with PBE-GGA.

The value obtained for the offset from the most stable computed form is 5.34 eV per formula unit. The formation energy is 2.27 eV per atom. For the energy, the calculation gives -0.1624 Ha/atom.

CIF file:
```
data_CsCr3Pb
_symmetry_space_group_name_H-M 'P m -3 m'
_symmetry_Int_Tables_number 221
_symmetry_space_group_name_Hall '-P 4 2 3'
_cell_length_a 5.7116
_cell_length_b 5.7116
_cell_length_c 5.7116
_cell_angle_alpha 90.00
_cell_angle_beta 90.00
_cell_angle_gamma 90.00
loop_
_atom_site_label
_atom_site_fract_x
_atom_site_fract_y
_atom_site_fract_z
Cs1 0.0000 0.0000 0.0000
Cr1 0.0000 0.0000 0.5000
Pb1 0.5000 0.5000 0.5000
```

Entry 2:
Crystalline La5AuBr5 at its relaxed geometry, computed with PBE-GGA.

For the energy, the calculation gives -0.1709 Ha/atom. The value obtained for the uncorrected formation energy is -1.35 eV per atom.

CIF file:
```
data_La5AuBr5
_symmetry_space_group_name_H-M 'P -1'
_symmetry_Int_Tables_number 2
_cell_length_a 6.0901
_cell_length_b 7.3582
_cell_length_c 8.8448
_cell_angle_alpha 72.46
_cell_angle_beta 89.96
_cell_angle_gamma 65.60
loop_
_symmetry_equiv_pos_as_xyz
'x,y,z'
'-x,-y,-z'
loop_
_atom_site_label
_atom_site_fract_x
_atom_site_fract_y
_atom_site_fract_z
La1 0.0000 0.0000 0.0000
La2 0.3206 0.3579 0.1515
La3 0.3384 0.3241 0.6792
Au1 0.5000 0.0000 0.0000
Br1 0.1524 0.6964 0.8043
Br2 0.1561 0.6868 0.3500
Br3 0.5000 0.0000 0.5000
```

Entry 3:
Crystalline La4BrCl3O4 at its relaxed geometry, computed with PBE-GGA.

For the energy, the calculation gives -0.2580 Ha/atom. The value obtained for the uncorrected formation energy is -3.12 eV per atom.

CIF file:
```
data_La4BrCl3O4
_symmetry_space_group_name_H-M 'P 4 m m'
_symmetry_Int_Tables_number 99
_cell_length_a 4.1276
_cell_length_b 4.1276
_cell_length_c 14.4087
_cell_angle_alpha 90.00
_cell_angle_beta 90.00
_cell_angle_gamma 90.00
loop_
_symmetry_equiv_pos_as_xyz
'x,y,z'
'-y,x,z'
'-x,-y,z'
'y,-x,z'
'-x,y,z'
'y,x,z'
'x,-y,z'
'-y,-x,z'
loop_
_atom_site_label
_atom_site_fract_x
_atom_site_fract_y
_atom_site_fract_z
La1 0.0000 0.0000 0.0000
La2 0.0000 0.0000 0.4851
La3 0.5000 0.5000 0.1684
La4 0.5000 0.5000 0.6534
Br1 0.5000 0.5000 0.8916
Cl1 0.0000 0.0000 0.2616
Cl2 0.0000 0.0000 0.7482
Cl3 0.5000 0.5000 0.3887
O1 0.0000 0.5000 0.0834
O2 0.0000 0.5000 0.5685
```

Entry 4:
Crystalline Rb2ErSiO4 at its relaxed geometry, computed with PBE-GGA.

For the energy, the calculation gives -0.2270 Ha/atom. The value obtained for the uncorrected formation energy is -2.21 eV per atom.

CIF file:
```
data_Rb2ErSiO4
_symmetry_space_group_name_H-M 'F d d d'
_symmetry_Int_Tables_number 70
_cell_length_a 5.5959
_cell_length_b 12.7767
_cell_length_c 23.7435
_cell_angle_alpha 90.00
_cell_angle_beta 90.00
_cell_angle_gamma 90.00
loop_
_symmetry_equiv_pos_as_xyz
'x,y,z'
'-x,-y,-z'
'-x+1/4,-y+1/4,z'
'x+1/4,y+1/4,-z'
'x,-y+1/4,-z+1/4'
'-x,y+1/4,z+1/4'
'-x+1/4,y,-z+1/4'
'x+1/4,-y,z+1/4'
'x,y+1/2,z+1/2'
'-x,-y+1/2,-z+1/2'
'-x+1/4,-y+3/4,z+1/2'
'x+1/4,y+3/4,-z+1/2'
'x,-y+3/4,-z+3/4'
'-x,y+3/4,z+3/4'
'-x+1/4,y+1/2,-z+3/4'
'x+1/4,-y+1/2,z+3/4'
'x+1/2,y,z+1/2'
'-x+1/2,-y,-z+1/2'
'-x+3/4,-y+1/4,z+1/2'
'x+3/4,y+1/4,-z+1/2'
'x+1/2,-y+1/4,-z+3/4'
'-x+1/2,y+1/4,z+3/4'
'-x+3/4,y,-z+3/4'
'x+3/4,-y,z+3/4'
'x+1/2,y+1/2,z'
'-x+1/2,-y+1/2,-z'
'-x+3/4,-y+3/4,z'
'x+3/4,y+3/4,-z'
'x+1/2,-y+3/4,-z+1/4'
'-x+1/2,y+3/4,z+1/4'
'-x+3/4,y+1/2,-z+1/4'
'x+3/4,-y+1/2,z+1/4'
loop_
_atom_site_label
_atom_site_fract_x
_atom_site_fract_y
_atom_site_fract_z
Rb1 0.1250 0.1250 0.3054
Er1 0.1250 0.1250 0.1250
Si1 0.1250 0.1250 0.6250
O1 0.0641 0.2990 0.8389
```

Entry 5:
Crystalline RbCd8Sn2 at its relaxed geometry, computed with PBE-GGA.

The formation energy is 0.03 eV per atom. For the energy, the calculation gives -0.0535 Ha/atom.

CIF file:
```
data_RbCd8Sn2
_symmetry_space_group_name_H-M 'C m m m'
_symmetry_Int_Tables_number 65
_symmetry_space_group_name_Hall '-C 2 2'
_cell_length_a 5.9214
_cell_length_b 9.4019
_cell_length_c 12.0677
_cell_angle_alpha 90.00
_cell_angle_beta 90.00
_cell_angle_gamma 90.00
loop_
_atom_site_label
_atom_site_fract_x
_atom_site_fract_y
_atom_site_fract_z
Rb1 0.0000 0.0000 0.0000
Cd1 0.0000 0.5000 0.3461
Cd2 0.2500 0.2500 0.2180
Cd3 0.2500 0.2500 0.5000
Sn1 0.0000 0.0000 0.3628
```

Entry 6:
Crystalline Cd2P at its relaxed geometry, computed with PBE-GGA.

The value obtained for the offset from the most stable computed form is 0.00 eV per formula unit. The formation energy is 0.09 eV per atom. For the energy, the calculation gives -0.0854 Ha/atom.

CIF file:
```
data_Cd2P
_symmetry_space_group_name_H-M 'P n n m'
_symmetry_Int_Tables_number 58
_cell_length_a 5.6715
_cell_length_b 6.1743
_cell_length_c 4.1428
_cell_angle_alpha 90.00
_cell_angle_beta 90.00
_cell_angle_gamma 90.00
loop_
_symmetry_equiv_pos_as_xyz
'x,y,z'
'-x,-y,-z'
'-x,-y,z'
'x,y,-z'
'x+1/2,-y+1/2,-z+1/2'
'-x+1/2,y+1/2,z+1/2'
'-x+1/2,y+1/2,-z+1/2'
'x+1/2,-y+1/2,z+1/2'
loop_
_atom_site_label
_atom_site_fract_x
_atom_site_fract_y
_atom_site_fract_z
Cd1 0.2222 0.1173 0.0000
P1 0.0000 0.5000 0.0000
```

Entry 7:
Crystalline MgAgBr at its relaxed geometry, computed with PBE-GGA.

The value obtained for the offset from the most stable computed form is 1.11 eV per formula unit. For the energy, the calculation gives -0.0792 Ha/atom. The value obtained for the uncorrected formation energy is -0.12 eV per atom.

CIF file:
```
data_MgAgBr
_symmetry_space_group_name_H-M 'F -4 3 m'
_symmetry_Int_Tables_number 216
_symmetry_space_group_name_Hall 'F -4 2 3'
_cell_length_a 6.7826
_cell_length_b 6.7826
_cell_length_c 6.7826
_cell_angle_alpha 90.00
_cell_angle_beta 90.00
_cell_angle_gamma 90.00
loop_
_atom_site_label
_atom_site_fract_x
_atom_site_fract_y
_atom_site_fract_z
Mg1 0.0000 0.0000 0.0000
Ag1 0.2500 0.2500 0.7500
Br1 0.2500 0.2500 0.2500
```